{
  "formula": "Ca4Rh",
  "functional": "PBE-GGA",
  "state": "relaxed",
  "dft_energy_ev_per_atom": -3.009,
  "spacegroup": "No. 227",
  "polymorph_energy_kj_per_mol_fu": 141.0,
  "ef_ev_per_fu": 0.31,
  "cell": [[0.0000, 5.7203, 5.7203], [5.7203, 0.0000, 5.7203], [5.7203, 5.7203, 0.0000]],
  "species": ["Ca", "Ca", "Ca", "Ca", "Ca", "Ca", "Ca", "Ca", "Rh", "Rh"],
  "fractional_positions": [[0.3564, 0.8812, 0.8812], [0.8936, 0.3688, 0.3688], [0.8812, 0.8812, 0.8812], [0.3688, 0.8936, 0.3688], [0.8812, 0.8812, 0.3564], [0.3688, 0.3688, 0.8936], [0.3688, 0.3688, 0.3688], [0.8812, 0.3564, 0.8812], [0.7500, 0.7500, 0.7500], [0.5000, 0.5000, 0.5000]]
}